A plane-wave DFT calculation with PBE-GGA was carried out for CsBi2Au3 after structural relaxation.

Values from the calculation:
ΔE_f, eV per atom: -0.18
E, eV/atom: -3.250
Crystal system: monoclinic
Total magnetic moment, μB per formula unit: 0.00
D(E_F), states/eV/atom: 0.462
ρ, g cm⁻³: 8.88

CIF file:
```
data_CsBi2Au3
_cell_length_a 13.379
_cell_length_b 11.169
_cell_length_c 5.790
_cell_angle_alpha 90.00
_cell_angle_beta 99.32
_cell_angle_gamma 90.00
_space_group_name_H-M_alt 'C 1 2/c 1'
_space_group_IT_number 15
loop_
_space_group_symop_operation_xyz
'x,y,z'
'-x,-y,-z'
'-x,y,-z+1/2'
'x,-y,z+1/2'
'x+1/2,y+1/2,z'
'-x+1/2,-y+1/2,-z'
'-x+1/2,y+1/2,-z+1/2'
'x+1/2,-y+1/2,z+1/2'
loop_
_atom_site_label
_atom_site_fract_x
_atom_site_fract_y
_atom_site_fract_z
Cs1 0.000 0.209 0.250
Bi1 0.210 0.399 0.842
Au1 0.000 0.416 0.750
Au2 0.246 0.344 0.340
```